# Fe2RuRh (PBE, relaxed)
# calculated density: 10.0 g/cm3
# formation energy from the elements: 103.3 meV per atom
# calculated volume: 13.15 A^3/atom
# M_tot: 1.60 μB per atom
data_Fe2RuRh
_chemical_formula_sum 'Fe4 Ru2 Rh2'
_cell_length_a 2.8849
_cell_length_b 4.2726
_cell_length_c 8.5348
_cell_angle_alpha 90.00
_cell_angle_beta 90.00
_cell_angle_gamma 90.00
_space_group_name_H-M_alt 'I m m 2'
_space_group_IT_number 44
loop_
_space_group_symop_operation_xyz
'x,y,z'
'-x,-y,z'
'-x,y,z'
'x,-y,z'
'x+1/2,y+1/2,z+1/2'
'-x+1/2,-y+1/2,z+1/2'
'-x+1/2,y+1/2,z+1/2'
'x+1/2,-y+1/2,z+1/2'
loop_
_atom_site_label
_atom_site_type_symbol
_atom_site_fract_x
_atom_site_fract_y
_atom_site_fract_z
Fe1 Fe 0.0000 0.0000 0.0000
Fe2 Fe 0.0000 0.5000 0.2706
Ru1 Ru 0.0000 0.5000 0.7487
Rh1 Rh 0.0000 0.0000 0.5172